Record 1
A geometry-optimized Te2IrSeI structure. Source: Alexandria, functional PBEsol.

a = 5.3441 Å, b = 5.3441 Å, c = 5.2499 Å
α = 90.00°, β = 90.00°, γ = 90.00°
Atoms (fractional coordinates):
Te1 0.0000 0.5000 0.0000
Te2 0.5000 0.0000 0.0000
Ir1 0.0000 0.0000 0.5000
Se1 0.5000 0.5000 0.0000
I1 0.5000 0.5000 0.5000

Values from the calculation:
* ΔE_f (raw): 35.4 kcal/mol of atoms
* symmetry: P4/mmm
* total magnetic moment: 0.47 μB per atom

=====

Record 2
A geometry-optimized SiIrI3 structure. Source: Alexandria, functional PBEsol.

a = 5.3149 Å, b = 5.3149 Å, c = 5.3149 Å
α = 90.00°, β = 90.00°, γ = 90.00°
Atoms (fractional coordinates):
Si1 0.0000 0.0000 0.0000
Ir1 0.5000 0.5000 0.5000
I1 0.0000 0.0000 0.5000
I2 0.0000 0.5000 0.0000
I3 0.5000 0.0000 0.0000

Values from the calculation:
* ΔE_f (raw): 30.8 kcal/mol of atoms
* symmetry: Pm-3m
* total magnetic moment: 0.52 μB per atom

=====

Record 3
A geometry-optimized SrTe2IrI structure. Source: Alexandria, functional PBEsol.

a = 6.0318 Å, b = 6.0318 Å, c = 5.9593 Å
α = 90.00°, β = 90.00°, γ = 90.00°
Atoms (fractional coordinates):
Sr1 0.0000 0.0000 0.0000
Te1 0.0000 0.5000 0.0000
Te2 0.5000 0.0000 0.0000
Ir1 0.5000 0.5000 0.5000
I1 0.0000 0.0000 0.5000

Values from the calculation:
* ΔE_f (raw): 30.7 kcal/mol of atoms
* symmetry: P4/mmm
* total magnetic moment: 0.72 μB per atom

=====

Record 4
A geometry-optimized Sr2ZrIrI structure. Source: Alexandria, functional PBEsol.

a = 5.9496 Å, b = 5.9496 Å, c = 4.9279 Å
α = 90.00°, β = 90.00°, γ = 90.00°
Atoms (fractional coordinates):
Sr1 0.0000 0.5000 0.0000
Sr2 0.5000 0.0000 0.0000
Zr1 0.0000 0.0000 0.5000
Ir1 0.5000 0.5000 0.5000
I1 0.5000 0.5000 0.0000

Values from the calculation:
* ΔE_f (raw): 19.6 kcal/mol of atoms
* symmetry: P4/mmm
* total magnetic moment: 0.69 μB per atom

=====

Record 5
A geometry-optimized TaIrI3 structure. Source: Alexandria, functional PBEsol.

a = 5.3558 Å, b = 5.3558 Å, c = 5.3558 Å
α = 90.00°, β = 90.00°, γ = 90.00°
Atoms (fractional coordinates):
Ta1 0.0000 0.0000 0.0000
Ir1 0.5000 0.5000 0.5000
I1 0.0000 0.0000 0.5000
I2 0.0000 0.5000 0.0000
I3 0.5000 0.0000 0.0000

Values from the calculation:
* ΔE_f (raw): 33.1 kcal/mol of atoms
* symmetry: Pm-3m
* total magnetic moment: 0.41 μB per atom

=====

Record 6
A geometry-optimized Ta2TiIrI structure. Source: Alexandria, functional PBEsol.

a = 4.6253 Å, b = 4.6253 Å, c = 4.8218 Å
α = 90.00°, β = 90.00°, γ = 90.00°
Atoms (fractional coordinates):
Ta1 0.0000 0.5000 0.0000
Ta2 0.5000 0.0000 0.0000
Ti1 0.0000 0.0000 0.0000
Ir1 0.5000 0.5000 0.5000
I1 0.0000 0.0000 0.5000

Values from the calculation:
* ΔE_f (raw): 42.6 kcal/mol of atoms
* symmetry: P4/mmm
* total magnetic moment: 0.00 μB per atom

=====

Record 7
A geometry-optimized Tb6IrI10 structure. Source: Alexandria, functional PBEsol.

a = 7.5643 Å, b = 9.4860 Å, c = 9.5227 Å
α = 107.33°, β = 97.03°, γ = 104.89°
Atoms (fractional coordinates):
Tb1 0.0306 0.2114 0.4130
Tb2 0.1161 0.5408 0.2563
Tb3 0.3564 0.6283 0.6694
Tb4 0.6436 0.3717 0.3306
Tb5 0.8839 0.4592 0.7437
Tb6 0.9694 0.7886 0.5870
Ir1 0.0000 0.5000 0.5000
I1 0.0878 0.8735 0.3162
I2 0.2159 0.2359 0.1444
I3 0.2656 0.5896 0.9661
I4 0.3604 0.9610 0.7760
I5 0.4523 0.3116 0.5929
I6 0.5477 0.6884 0.4071
I7 0.6396 0.0390 0.2240
I8 0.7344 0.4104 0.0339
I9 0.7841 0.7641 0.8556
I10 0.9122 0.1265 0.6838

Values from the calculation:
* ΔE_f (raw): -29.2 kcal/mol of atoms
* symmetry: P-1
* total magnetic moment: 0.02 μB per atom

=====

Record 8
A geometry-optimized Tc3IrI structure. Source: Alexandria, functional PBEsol.

a = 4.6424 Å, b = 4.6424 Å, c = 4.6424 Å
α = 90.00°, β = 90.00°, γ = 90.00°
Atoms (fractional coordinates):
Tc1 0.0000 0.0000 0.5000
Tc2 0.0000 0.5000 0.0000
Tc3 0.5000 0.0000 0.0000
Ir1 0.5000 0.5000 0.5000
I1 0.0000 0.0000 0.0000

Values from the calculation:
* ΔE_f (raw): 59.0 kcal/mol of atoms
* symmetry: Pm-3m
* total magnetic moment: 0.00 μB per atom